Material: Cr2SnI
Method: DFT, PBE-GGA
State: optimized geometry

Energy relative to the elements, uncorrected ... 0.68 eV/atom
Total magnetic moment ... 2.139 μB per atom
Density of states at the Fermi level ... 0.7722 states/eV per atom
Crystal system ... tetragonal
Total DFT energy (no corrections) ... -44.178 eV/cell

```
Cr2SnI
1.0
-3.817 3.817 3.387
3.817 -3.817 3.387
3.817 3.817 -3.387
Cr Sn I
4 2 2
direct
0.118 0.625 0.993
0.375 0.368 0.493
0.632 0.125 0.007
0.875 0.882 0.507
0.000 0.000 0.000
0.750 0.250 0.500
0.250 0.750 0.500
0.500 0.500 0.000
```

Material: CrSn2I
Method: DFT, PBE-GGA
State: optimized geometry

Energy relative to the elements, uncorrected ... 0.59 eV/atom
Total magnetic moment ... 0.802 μB per atom
Density of states at the Fermi level ... 0.7832 states/eV per atom
Crystal system ... tetragonal
Total DFT energy (no corrections) ... -33.678 eV/cell

```
CrSn2I
1.0
-2.933 2.933 8.404
2.933 -2.933 8.404
2.933 2.933 -8.404
Cr Sn I
2 4 2
direct
0.000 0.000 0.000
0.750 0.250 0.500
0.002 0.625 0.877
0.375 0.252 0.377
0.748 0.125 0.123
0.875 0.998 0.623
0.250 0.750 0.500
0.500 0.500 0.000
```

Material: CrSnI3
Method: DFT, PBE-GGA
State: optimized geometry

Energy relative to the elements, uncorrected ... 0.02 eV/atom
Total magnetic moment ... 0.999 μB per atom
Density of states at the Fermi level ... 0.4548 states/eV per atom
Crystal system ... cubic
Total DFT energy (no corrections) ... -18.180 eV/cell

```
CrSnI3
1.0
5.573 0.000 0.000
0.000 5.573 0.000
0.000 0.000 5.573
Cr Sn I
1 1 3
direct
0.000 0.000 0.000
0.500 0.500 0.500
0.000 0.000 0.500
0.000 0.500 0.000
0.500 0.000 0.000
```

Material: Cr2SnI
Method: DFT, PBE-GGA
State: optimized geometry

Energy relative to the elements, uncorrected ... 0.70 eV/atom
Total magnetic moment ... 1.867 μB per atom
Density of states at the Fermi level ... 0.7020 states/eV per atom
Crystal system ... cubic
Total DFT energy (no corrections) ... -22.011 eV/cell

```
Cr2SnI
1.0
0.000 3.529 3.529
3.529 0.000 3.529
3.529 3.529 0.000
Cr Sn I
2 1 1
direct
0.250 0.250 0.250
0.750 0.750 0.750
0.000 0.000 0.000
0.500 0.500 0.500
```

Material: CrSnTeI2
Method: DFT, PBE-GGA
State: optimized geometry

Energy relative to the elements, uncorrected ... 0.08 eV/atom
Total magnetic moment ... 0.799 μB per atom
Density of states at the Fermi level ... 0.4485 states/eV per atom
Crystal system ... tetragonal
Total DFT energy (no corrections) ... -19.464 eV/cell

```
CrSnTeI2
1.0
5.414 0.000 0.000
0.000 5.414 0.000
0.000 0.000 5.585
Cr Sn Te I
1 1 1 2
direct
0.000 0.000 0.000
0.500 0.500 0.500
0.000 0.000 0.500
0.000 0.500 0.000
0.500 0.000 0.000
```

Material: VCrSn2I
Method: DFT, PBE-GGA
State: optimized geometry

Energy relative to the elements, uncorrected ... 0.60 eV/atom
Total magnetic moment ... 0.000 μB per atom
Density of states at the Fermi level ... 1.0500 states/eV per atom
Crystal system ... tetragonal
Total DFT energy (no corrections) ... -25.293 eV/cell

```
VCrSn2I
1.0
5.330 0.000 0.000
0.000 5.330 0.000
0.000 0.000 4.219
V Cr Sn I
1 1 2 1
direct
0.000 0.000 0.000
0.000 0.000 0.500
0.000 0.500 0.500
0.500 0.000 0.500
0.500 0.500 0.000
```

Material: SrCr3I
Method: DFT, PBE-GGA
State: optimized geometry

Energy relative to the elements, uncorrected ... 1.23 eV/atom
Total magnetic moment ... 2.610 μB per atom
Density of states at the Fermi level ... 0.6262 states/eV per atom
Crystal system ... cubic
Total DFT energy (no corrections) ... -25.949 eV/cell

```
SrCr3I
1.0
5.392 0.000 0.000
0.000 5.392 0.000
0.000 0.000 5.392
Sr Cr I
1 3 1
direct
0.000 0.000 0.000
0.000 0.500 0.500
0.500 0.000 0.500
0.500 0.500 0.000
0.500 0.500 0.500
```

Material: Sr3CrI
Method: DFT, PBE-GGA
State: optimized geometry

Energy relative to the elements, uncorrected ... 0.34 eV/atom
Total magnetic moment ... 1.356 μB per atom
Density of states at the Fermi level ... 1.0917 states/eV per atom
Crystal system ... cubic
Total DFT energy (no corrections) ... -14.533 eV/cell

```
Sr3CrI
1.0
6.240 0.000 0.000
0.000 6.240 0.000
0.000 0.000 6.240
Sr Cr I
3 1 1
direct
0.000 0.000 0.500
0.000 0.500 0.000
0.500 0.000 0.000
0.500 0.500 0.500
0.000 0.000 0.000
```